Entry from Alexandria: an optimized crystal structure of Tc2WNO (GGA+U).

Properties
Crystal system: tetragonal
Volume (Å³/atom): 13.21
Total DFT energy (no corrections) (hartree per atom): -0.2725

Geometry as POSCAR:
```
Tc2WNO
1.0
-3.838 0.561 0.930
0.661 -1.677 3.741
0.881 3.605 1.461
O W Tc N
1 1 2 1
Direct
0.500 0.500 0.500
0.000 0.500 0.000
0.500 0.000 0.000
0.000 0.000 0.500
0.000 0.000 0.000
```